## Hf3Pa2N3 (PBE)

Data for a relaxed structure of Hf3Pa2N3.

a = 3.770 Å, b = 3.770 Å, c = 11.134 Å
α = 90.00°, β = 90.00°, γ = 90.00°
Fractional positions:
N  0.000  0.000  0.694
Hf  0.500  0.500  0.000
Hf  0.000  0.000  0.500
Pa  0.500  0.000  0.230
N  0.000  0.000  0.000
N  0.000  0.000  0.306
Hf  0.500  0.500  0.500
Pa  0.000  0.500  0.770

Summary:
Total magnetization ... 0.0 μB per cell
Total DFT energy (no corrections) ... -9.200 eV/atom
Volume ... 19.8 Å³ per atom